Record 1
TlTc2Pt PBE-GGA relaxed; formation energy = 48.8 kJ/mol of atoms; density of states at the Fermi level = 1.185 states/eV per atom; polymorph energy (0 for the lowest one) = 312 meV per atom
1.0
-0.3586 8.1608 4.6164
0.2459 6.4162 6.8418
2.3839 7.4451 5.1890
Pt Tc Tl
1 2 1
Direct
0.7500 0.7500 0.7500
0.0047 0.0047 0.0047
0.4953 0.4953 0.4953
0.2500 0.2500 0.2500

***

Record 2
Tm5PdPb2 PBE-GGA relaxed; formation energy = -51.0 kJ/mol of atoms; density of states at the Fermi level = 0.901 states/eV per atom
1.0
-0.0114 -0.8420 4.4678
-7.4277 -2.6431 -0.5170
4.1438 -11.2330 -2.1063
Tm Pd Pb
10 2 4
Direct
0.0000 0.0000 0.5000
0.0000 0.5000 0.0000
0.0000 0.8484 0.2072
0.0000 0.1516 0.7928
0.0000 0.6516 0.7072
0.0000 0.3484 0.2928
0.5000 0.6841 0.4312
0.5000 0.3159 0.5688
0.5000 0.8159 0.9312
0.5000 0.1841 0.0688
0.0000 0.5000 0.5000
0.0000 0.0000 0.0000
0.5000 0.5686 0.1723
0.5000 0.4314 0.8277
0.5000 0.9314 0.6723
0.5000 0.0686 0.3277